# HoEr2LuIn2 PBE-GGA optimized geometry
# * calculated total energy: -4.296 eV per atom
# * space group: No. 187
data_HoEr2LuIn2
_cell_length_a 5.330
_cell_length_b 5.330
_cell_length_c 6.670
_cell_angle_alpha 90.00
_cell_angle_beta 90.00
_cell_angle_gamma 120.00
_symmetry_space_group_name_H-M 'P 1'
_symmetry_Int_Tables_number 1
_symmetry_space_group_name_Hall 'P 1'
loop_
_atom_site_label
_atom_site_type_symbol
_atom_site_fract_x
_atom_site_fract_y
_atom_site_fract_z
Ho1 Ho 0.000 0.000 0.000
In1 In 0.333 0.667 0.000
In2 In 0.000 0.000 0.500
Er1 Er 0.667 0.333 0.251
Er2 Er 0.667 0.333 0.749
Lu1 Lu 0.333 0.667 0.500